[1]
The following is a DFT calculation (PBE) of a relaxed Cs3NaAg crystal.

Magnetization: 0.0000 μB/atom
Calculated formation energy: 0.032 eV/atom
Raw total energy: -1.314 eV/atom

a = 11.2479 Å, b = 5.1837 Å, c = 12.0822 Å
α = 90.00°, β = 103.40°, γ = 90.00°
Last column: nearest neighbours and their distance in Å.
Element x y z (fractional)
1 Cs 0.0740 0.2500 0.2541  3 Ag 3.73-3.88
2 Cs 0.2897 0.2500 0.9219  3 Na 4.34-4.44, 1 Ag 4.69
3 Cs 0.3023 0.7500 0.5689  3 Ag 3.77-3.92
4 Cs 0.6977 0.2500 0.4311  3 Ag 3.77-3.92
5 Cs 0.7103 0.7500 0.0781  3 Na 4.34-4.44, 1 Ag 4.69
6 Cs 0.9260 0.7500 0.7459  3 Ag 3.73-3.88
7 Na 0.3940 0.7500 0.2270  8 Cs 4.34-4.54
8 Na 0.6060 0.2500 0.7730  8 Cs 4.34-4.54
9 Ag 0.0377 0.2500 0.5535  2 Ag 2.93
10 Ag 0.9623 0.7500 0.4465  2 Ag 2.93


[2]
The following is a DFT calculation (PBE) of a relaxed CsNaAg crystal.

Magnetization: 0.0000 μB/atom
Calculated formation energy: 0.036 eV/atom
Raw total energy: -1.639 eV/atom

a = 7.3613 Å, b = 7.3613 Å, c = 6.8017 Å
α = 95.57°, β = 95.57°, γ = 43.23°
Last column: nearest neighbours and their distance in Å.
Element x y z (fractional)
1 Cs 0.2084 0.2084 0.2391  5 Ag 3.73-4.17, 2 Na 4.14
2 Cs 0.7916 0.7916 0.7609  5 Ag 3.73-4.17, 2 Na 4.14
3 Na 0.5000 0.5000 0.0000  2 Na 3.40, 4 Ag 3.55
4 Na 0.5000 0.5000 0.5000  4 Ag 3.10, 2 Na 3.40
5 Ag 0.0591 0.0591 0.6981  1 Ag 2.99, 2 Na 3.10
6 Ag 0.9409 0.9409 0.3019  1 Ag 2.99, 2 Na 3.10


[3]
The following is a DFT calculation (PBE) of a relaxed CsNa2Ag2 crystal.

Magnetization: 0.0000 μB/atom
Calculated formation energy: 0.025 eV/atom
Raw total energy: -1.813 eV/atom

a = 7.6030 Å, b = 7.6030 Å, c = 7.6030 Å
α = 140.89°, β = 140.89°, γ = 56.50°
Last column: nearest neighbours and their distance in Å.
Element x y z (fractional)
1 Cs 0.0000 0.0000 0.0000  8 Ag 3.87, 8 Na 4.21
2 Na 0.2500 0.7500 0.5000  4 Ag 3.20
3 Na 0.7500 0.2500 0.5000  4 Ag 3.20
4 Ag 0.3945 0.3945 0.0000  1 Ag 2.83
5 Ag 0.6055 0.6055 0.0000  1 Ag 2.83


[4]
The following is a DFT calculation (PBE) of a relaxed Cs2NaAg crystal.

Magnetization: 0.0000 μB/atom
Calculated formation energy: 0.091 eV/atom
Raw total energy: -1.379 eV/atom

a = 11.3422 Å, b = 11.3422 Å, c = 11.3422 Å
α = 26.73°, β = 26.73°, γ = 26.73°
Last column: nearest neighbours and their distance in Å.
Element x y z (fractional)
1 Cs 0.0000 0.0000 0.0000  3 Ag 3.77
2 Cs 0.1975 0.1975 0.1975  3 Ag 3.75
3 Na 0.4329 0.4329 0.4329  6 Cs 4.41-4.45
4 Ag 0.5981 0.5981 0.5981  6 Cs 3.75-3.77


[5]
The following is a DFT calculation (PBE) of a relaxed CsNa2Ag crystal.

Magnetization: 0.0000 μB/atom
Calculated formation energy: 0.034 eV/atom
Raw total energy: -1.552 eV/atom

a = 7.5548 Å, b = 7.5548 Å, c = 7.5548 Å
α = 42.28°, β = 42.28°, γ = 42.28°
Last column: nearest neighbours and their distance in Å.
Element x y z (fractional)
1 Cs 0.0000 0.0000 0.0000  4 Ag 3.92-4.31, 7 Na 3.93-4.32
2 Na 0.5229 0.5229 0.5229  3 Ag 3.15, 3 Na 3.29
3 Na 0.8092 0.8092 0.8092  3 Na 3.29, 3 Ag 3.30
4 Ag 0.1903 0.1903 0.1903  6 Na 3.15-3.30


[6]
The following is a DFT calculation (PBE) of a relaxed CsNaAg3 crystal.

Magnetization: 0.0000 μB/atom
Calculated formation energy: 0.378 eV/atom
Raw total energy: -1.767 eV/atom

a = 5.6164 Å, b = 5.6164 Å, c = 5.6164 Å
α = 90.00°, β = 90.00°, γ = 90.00°
Last column: nearest neighbours and their distance in Å.
Element x y z (fractional)
1 Cs 0.0000 0.0000 0.0000  12 Ag 3.97
2 Na 0.5000 0.5000 0.5000  6 Ag 2.81
3 Ag 0.0000 0.5000 0.5000  2 Na 2.81
4 Ag 0.5000 0.0000 0.5000  2 Na 2.81
5 Ag 0.5000 0.5000 0.0000  2 Na 2.81


[7]
The following is a DFT calculation (PBE) of a relaxed CsNa2Ag crystal.

Magnetization: 0.0000 μB/atom
Calculated formation energy: 0.163 eV/atom
Raw total energy: -1.423 eV/atom

a = 6.0110 Å, b = 6.0110 Å, c = 6.0110 Å
α = 60.00°, β = 60.00°, γ = 60.00°
Last column: nearest neighbours and their distance in Å.
Element x y z (fractional)
1 Cs 0.0000 0.0000 0.0000  8 Na 3.68
2 Na 0.2500 0.2500 0.2500  4 Ag 3.68, 4 Cs 3.68
3 Na 0.7500 0.7500 0.7500  4 Cs 3.68, 4 Ag 3.68
4 Ag 0.5000 0.5000 0.5000  8 Na 3.68


[8]
The following is a DFT calculation (PBE) of a relaxed CsNa3Ag3 crystal.

Magnetization: 0.0000 μB/atom
Calculated formation energy: 0.182 eV/atom
Raw total energy: -1.727 eV/atom

a = 8.2601 Å, b = 8.2601 Å, c = 8.2601 Å
α = 90.00°, β = 90.00°, γ = 90.00°
Last column: nearest neighbours and their distance in Å.
Element x y z (fractional)
1 Cs 0.0000 0.0000 0.0000  12 Na 4.62, 12 Ag 4.62
2 Cs 0.5000 0.5000 0.5000  12 Na 4.62, 12 Ag 4.62
3 Na 0.0000 0.2500 0.5000  4 Ag 2.92
4 Na 0.0000 0.7500 0.5000  4 Ag 2.92
5 Na 0.2500 0.5000 0.0000  4 Ag 2.92
6 Na 0.5000 0.0000 0.2500  4 Ag 2.92
7 Na 0.5000 0.0000 0.7500  4 Ag 2.92
8 Na 0.7500 0.5000 0.0000  4 Ag 2.92
9 Ag 0.0000 0.5000 0.2500  4 Na 2.92
10 Ag 0.0000 0.5000 0.7500  4 Na 2.92
11 Ag 0.2500 0.0000 0.5000  4 Na 2.92
12 Ag 0.5000 0.2500 0.0000  4 Na 2.92
13 Ag 0.5000 0.7500 0.0000  4 Na 2.92
14 Ag 0.7500 0.0000 0.5000  4 Na 2.92


[9]
The following is a DFT calculation (PBE) of a relaxed CsNa2Ag crystal.

Magnetization: 0.0000 μB/atom
Calculated formation energy: 0.051 eV/atom
Raw total energy: -1.535 eV/atom

a = 7.6300 Å, b = 7.6300 Å, c = 7.6300 Å
α = 41.36°, β = 41.36°, γ = 41.36°
Last column: nearest neighbours and their distance in Å.
Element x y z (fractional)
1 Cs 0.0000 0.0000 0.0000  8 Na 4.11-4.22
2 Na 0.1968 0.1968 0.1968  3 Ag 3.17, 3 Na 3.36
3 Na 0.8032 0.8032 0.8032  3 Ag 3.17, 3 Na 3.36
4 Ag 0.5000 0.5000 0.5000  6 Na 3.17


[10]
The following is a DFT calculation (PBE) of a relaxed CsNaAg3 crystal.

Magnetization: 0.0471 μB/atom
Calculated formation energy: 0.930 eV/atom
Raw total energy: -1.215 eV/atom

a = 6.4962 Å, b = 6.4962 Å, c = 6.4962 Å
α = 90.00°, β = 90.00°, γ = 90.00°
Last column: nearest neighbours and their distance in Å.
Element x y z (fractional)
1 Cs 0.0000 0.0000 0.0000  6 Ag 3.25
2 Na 0.5000 0.5000 0.5000  12 Ag 4.59
3 Ag 0.0000 0.0000 0.5000  2 Cs 3.25
4 Ag 0.0000 0.5000 0.0000  2 Cs 3.25
5 Ag 0.5000 0.0000 0.0000  2 Cs 3.25


[11]
The following is a DFT calculation (PBE) of a relaxed CsNaAg crystal.

Magnetization: 0.0000 μB/atom
Calculated formation energy: 0.008 eV/atom
Raw total energy: -1.667 eV/atom

a = 9.4184 Å, b = 9.4184 Å, c = 9.4184 Å
α = 146.02°, β = 146.02°, γ = 48.81°
Last column: nearest neighbours and their distance in Å.
Element x y z (fractional)
1 Cs 0.1792 0.1792 0.0000  5 Ag 4.05-4.22, 4 Na 4.13
2 Cs 0.8208 0.8208 0.0000  5 Ag 4.05-4.22, 4 Na 4.13
3 Na 0.0000 0.5000 0.5000  4 Ag 3.11
4 Na 0.5000 0.0000 0.5000  4 Ag 3.11
5 Ag 0.4154 0.4154 0.0000  1 Ag 2.90, 4 Na 3.11
6 Ag 0.5846 0.5846 0.0000  1 Ag 2.90, 4 Na 3.11


[12]
The following is a DFT calculation (PBE) of a relaxed CsNa2AgO crystal.

Magnetization: 0.0000 μB/atom
Formation energy from raw total energies: -0.527 eV/atom
Raw total energy: -2.788 eV/atom

a = 4.8476 Å, b = 4.8476 Å, c = 5.9522 Å
α = 90.00°, β = 90.00°, γ = 90.00°
Last column: nearest neighbours and their distance in Å.
Element x y z (fractional)
1 Cs 0.0000 0.0000 0.0000  2 O 2.98
2 Na 0.0000 0.5000 0.5000  2 O 2.42
3 Na 0.5000 0.0000 0.5000  2 O 2.42
4 Ag 0.5000 0.5000 0.0000  4 Cs 3.43, 8 Na 3.84
5 O 0.0000 0.0000 0.5000  4 Na 2.42


Question: Number 2 is which compound?
Answer: CsNaAg